1.
Cd2PtSeS | the Alexandria database | PBE | optimized geometry; total moment = 0.00 μB per formula unit; DOS(E_F) = 1.5 states/eV per cell; theoretical density = 7.0 g cm⁻³; formation energy without anion corrections = 0.0708 eV per atom; VASP energy = -15.13 eV per cell
1.0
-3.467 2.719 -3.113
-2.771 0.245 3.300
2.255 4.649 1.549
Pt S Se Cd
1 1 1 2
direct
0.000 0.000 0.000 Pt
0.000 0.500 0.000 S
0.500 0.500 0.500 Se
0.000 0.000 0.500 Cd
0.500 0.000 0.000 Cd

---

2.
CdSiPt2S | the Alexandria database | PBE | optimized geometry; total moment = 0.00 μB per formula unit; DOS(E_F) = 2.2 states/eV per cell; theoretical density = 9.5 g cm⁻³; formation energy without anion corrections = 0.2072 eV per atom; VASP energy = -21.51 eV per cell
1.0
-3.491 0.608 2.940
-0.473 -4.576 0.385
2.965 -0.010 3.522
S Cd Pt Si
1 1 2 1
direct
0.000 0.500 0.000 S
0.500 0.500 0.500 Cd
0.000 0.000 0.500 Pt
0.500 0.000 0.000 Pt
0.000 0.000 0.000 Si

---

> The highest DOS(E_F) belongs to which entry?

CdSiPt2S

---

> The lowest formation energy without anion corrections belongs to which entry?

Cd2PtSeS